#one
{
  "formula": "SiPb2I",
  "functional": "PBE-GGA",
  "state": "optimized geometry",
  "lattice": [[0.000, 3.888, 3.888], [3.888, 0.000, 3.888], [3.888, 3.888, 0.000]],
  "species": ["Si", "Pb", "Pb", "I"],
  "frac_coords": [[0.000, 0.000, 0.000], [0.750, 0.750, 0.750], [0.250, 0.250, 0.250], [0.500, 0.500, 0.500]],
  "magnetic_moment_mub_per_fu": 0.0
}

---

#two
{
  "formula": "SiPb2I",
  "functional": "PBE-GGA",
  "state": "optimized geometry",
  "lattice": [[-3.776, -2.761, 6.507], [6.434, -4.397, 1.867], [2.992, -0.111, 6.624]],
  "species": ["I", "I", "Pb", "Pb", "Pb", "Pb", "Si", "Si"],
  "frac_coords": [[0.000, 0.000, 0.000], [0.750, 0.250, 0.500], [0.187, 0.625, 0.250], [0.563, 0.125, 0.250], [0.875, 0.813, 0.750], [0.375, 0.437, 0.750], [0.250, 0.750, 0.500], [0.500, 0.500, 0.000]],
  "magnetic_moment_mub_per_fu": 0.0
}

---

On energetic grounds, #two is preferred over the next structure by 0.075 eV/atom.